Record 1
The following is a DFT calculation (GGA-PBE) of LaSe2 after structural relaxation.

a b c (Å): 15.1286 4.3582 5.8920
angles (deg): 90.00 112.85 90.00
With the nearest neighbours (Å) after each atom.
Space group C2/m (No. 12)
Symmetry-distinct sites (fractional):
La 0.1511 0.0000 0.1513  8 Se 2.95-3.26
Se 0.0007 0.5000 0.7969  1 Se 2.40
Se 0.2065 0.0000 0.7065  4 La 2.95-3.05

Summary:
- Crystal system: monoclinic
- Formation energy from raw total energies: -496 kJ/mol of formula units

Record 2
The following is a DFT calculation (GGA-PBE) of LaSe2 after structural relaxation.

a b c (Å): 3.9287 3.9287 22.6971
angles (deg): 90.00 90.00 90.00
With the nearest neighbours (Å) after each atom.
Space group I4_1/amd (No. 141, origin choice 2)
Symmetry-distinct sites (fractional):
La 0.0000 0.2500 0.3750  8 Se 3.13
Se 0.0000 0.2500 0.8113  1 Se 2.89, 4 La 3.13

Summary:
- Crystal system: tetragonal
- Formation energy from raw total energies: -416 kJ/mol of formula units

Record 3
The following is a DFT calculation (GGA-PBE) of La3Se2 after structural relaxation.

a b c (Å): 7.3785 7.3785 20.8935
angles (deg): 90.00 90.00 120.00
With the nearest neighbours (Å) after each atom.
Space group R-3c (No. 167, hexagonal axes)
Symmetry-distinct sites (fractional):
La 0.0000 0.3323 0.2500  4 Se 2.98-3.04
Se 0.0000 0.0000 0.1637  6 La 2.98-3.04

Summary:
- Crystal system: trigonal
- Formation energy from raw total energies: -700 kJ/mol of formula units
- Energy above the lowest structure with this stoichiometry: 0.00 eV per formula unit

Record 4
The following is a DFT calculation (GGA-PBE) of La5Se4 after structural relaxation.

a b c (Å): 13.4827 13.4827 4.0083
angles (deg): 90.00 90.00 90.00
With the nearest neighbours (Å) after each atom.
Space group I4/mmm (No. 139)
Symmetry-distinct sites (fractional):
La 0.0000 0.0000 0.0000  4 Se 3.06
La 0.1575 0.1575 0.5000  4 Se 3.07
Se 0.0000 0.2272 0.0000  5 La 3.06-3.07

Summary:
- Crystal system: tetragonal
- Formation energy from raw total energies: -1185 kJ/mol of formula units